Model w:
Entry from Alexandria: a geometry-optimized CaTlRe2 structure (GGA-PBE).

As for the total magnetization: 0.0000 μB per atom.

a = 4.3952 Å, b = 4.3952 Å, c = 7.0238 Å
α = 81.70°, β = 81.70°, γ = 43.24°
Last column: nearest neighbours and their distance in Å.
Fractional positions:
Re1 0.0165 0.0165 0.9227  3 Re 2.47-2.51
Re2 0.7386 0.7386 0.8117  3 Re 2.47-2.51
Tl1 0.4922 0.4922 0.5449  5 Re 2.96-3.14, 3 Ca 3.22-3.29, 2 Tl 3.24
Ca1 0.2528 0.2528 0.2207  5 Re 3.06-3.32, 3 Tl 3.22-3.29, 2 Ca 3.24

Model x:
Entry from Alexandria: a geometry-optimized CaTlRe2 structure (GGA-PBE).

As for the total magnetization: 1.0296 μB per atom.

a = 4.8114 Å, b = 4.8114 Å, c = 4.8114 Å
α = 60.00°, β = 60.00°, γ = 60.00°
Last column: nearest neighbours and their distance in Å.
Fractional positions:
Re1 0.2500 0.2500 0.2500  4 Tl 2.95, 4 Ca 2.95
Re2 0.7500 0.7500 0.7500  4 Tl 2.95, 4 Ca 2.95
Tl1 0.5000 0.5000 0.5000  8 Re 2.95
Ca1 0.0000 0.0000 0.0000  8 Re 2.95

Result of the stability comparison: model w is the most stable of them.

Model w:
Entry from Alexandria: a geometry-optimized CaV3Re structure (GGA-PBE).

As for the total magnetization: 0.1447 μB per atom.

a = 4.6989 Å, b = 4.6989 Å, c = 4.6989 Å
α = 90.00°, β = 90.00°, γ = 90.00°
Last column: nearest neighbours and their distance in Å.
Fractional positions:
Re1 0.0000 0.0000 0.0000  6 V 2.35
Ca1 0.5000 0.5000 0.5000  12 V 3.32
V1 0.0000 0.5000 0.0000  2 Re 2.35
V2 0.0000 0.0000 0.5000  2 Re 2.35
V3 0.5000 0.0000 0.0000  2 Re 2.35

Model x:
Entry from Alexandria: a geometry-optimized CaV3Re structure (GGA-PBE).

As for the total magnetization: 0.0129 μB per atom.

a = 4.2734 Å, b = 4.2734 Å, c = 4.2734 Å
α = 90.00°, β = 90.00°, γ = 90.00°
Last column: nearest neighbours and their distance in Å.
Fractional positions:
Re1 0.5000 0.5000 0.5000  12 V 3.02
Ca1 0.0000 0.0000 0.0000  6 V 2.14
V1 0.0000 0.5000 0.0000  2 Ca 2.14
V2 0.0000 0.0000 0.5000  2 Ca 2.14
V3 0.5000 0.0000 0.0000  2 Ca 2.14

Result of the stability comparison: model w is the most stable of them.